(1)
! PmMnAu2 | Alexandria | GGA-PBE | optimized geometry; values from VASP
&SYSTEM
  ibrav = 0, nat = 4, ntyp = 3
/
ATOMIC_SPECIES
Mn 54.94 Mn.upf
Au 196.97 Au.upf
Pm 145.00 Pm.upf
CELL_PARAMETERS angstrom
3.4585 0.0000 0.0000
0.0000 3.4585 0.0000
0.0000 0.0000 6.9390
ATOMIC_POSITIONS crystal
Mn 0.5000 0.5000 0.0000
Au 0.0000 0.0000 0.7890
Au 0.0000 0.0000 0.2110
Pm 0.5000 0.5000 0.5000
! SG = No. 123
! E_form = -0.382 eV per atom
! ρ = 11.9 g/cm³

(2)
! Ba2MgAuI | Alexandria | GGA-PBE | optimized geometry; values from VASP
&SYSTEM
  ibrav = 0, nat = 5, ntyp = 4
/
ATOMIC_SPECIES
I 126.90 I.upf
Mg 24.30 Mg.upf
Au 196.97 Au.upf
Ba 137.33 Ba.upf
CELL_PARAMETERS angstrom
-5.7777 2.8789 0.2881
-2.8472 -5.7718 0.5759
0.4077 0.3078 5.1006
ATOMIC_POSITIONS crystal
I 0.5000 0.5000 0.5000
Mg 0.0000 0.0000 0.5000
Au 0.0000 0.0000 0.0000
Ba 0.0000 0.5000 0.0000
Ba 0.5000 0.0000 0.0000
! SG = No. 123
! ρ = 4.8 g/cm³
! E_form (uncorrected) = -0.70 eV/atom

Calculated DOS(E_F) in order - 0.4916, 0.6977 states/eV per atom
Calculated total DFT energy (no corrections) in order - -5.50, -2.75 eV per atom